Record 1
Material: LaMnPt2
Method: DFT, PBE-GGA
State: relaxed

Computed properties:
Electronic total energy (eV/atom): -7.150
DFT formation energy (meV/atom): -606
Symmetry: Cm (8)

Cell: 4.3561 4.3561 5.8086 Å, 68.46 68.46 59.88°
Last column: nearest neighbours and their distance in Å.
Fractional coordinates of all 4 atoms:
La (0.5108, 0.5108, 0.4747)  1 Mn 2.99, 7 Pt 3.14-3.26
Mn (0.3179, 0.3179, 0.0437)  6 Pt 2.54-2.69
Pt (0.9610, 0.9610, 0.1170)  3 Mn 2.54, 3 Pt 2.84
Pt (0.7103, 0.7103, 0.8646)  3 Mn 2.68-2.69, 3 Pt 2.84

---

Record 2
Material: LaMn2Pt
Method: DFT, PBE-GGA
State: relaxed

Computed properties:
Electronic total energy (eV/atom): -7.494
DFT formation energy (meV/atom): -167
Symmetry: R-3m (166)

Cell: 4.3902 4.3902 5.6257 Å, 67.08 67.08 59.99°
Last column: nearest neighbours and their distance in Å.
Fractional coordinates of all 4 atoms:
La (0.7500, 0.7500, 0.7500)  8 Mn 3.05-3.21
Mn (0.9523, 0.9523, 0.1430)  3 Pt 2.59, 3 Mn 2.75
Mn (0.5477, 0.5477, 0.3570)  3 Pt 2.59, 3 Mn 2.75
Pt (0.2500, 0.2500, 0.2500)  6 Mn 2.59

---

Record 3
Material: LaMnPt2
Method: DFT, PBE-GGA
State: relaxed

Computed properties:
Electronic total energy (eV/atom): -6.634
DFT formation energy (meV/atom): -89
Symmetry: R-3m (166)

Cell: 9.6224 9.6224 9.6224 Å, 18.08 18.08 18.08°
Last column: nearest neighbours and their distance in Å.
Fractional coordinates of all 4 atoms:
La (0.2500, 0.2500, 0.2500)  6 La 3.02, 6 Pt 3.20
Mn (0.7500, 0.7500, 0.7500)  6 Pt 2.69
Pt (0.0111, 0.0111, 0.0111)  3 Mn 2.69
Pt (0.4889, 0.4889, 0.4889)  3 Mn 2.69

---

Record 4
Material: LaMnPt
Method: DFT, PBE-GGA
State: relaxed

Computed properties:
Electronic total energy (eV/atom): -6.460
DFT formation energy (meV/atom): 252
Symmetry: F-43m (216)

Cell: 4.7963 4.7963 4.7963 Å, 60.00 60.00 60.00°
Last column: nearest neighbours and their distance in Å.
Fractional coordinates of all 3 atoms:
La (0.7500, 0.7500, 0.7500)  4 Mn 2.94, 4 Pt 2.94
Mn (0.0000, 0.0000, 0.0000)  4 La 2.94
Pt (0.5000, 0.5000, 0.5000)  4 La 2.94

---

Record 5
Material: LaMnPt2
Method: DFT, PBE-GGA
State: relaxed

Computed properties:
Electronic total energy (eV/atom): -6.670
DFT formation energy (meV/atom): -125
Symmetry: I-42d (122)

Cell: 4.9587 4.9587 8.5671 Å, 73.18 73.18 90.00°
Last column: nearest neighbours and their distance in Å.
Fractional coordinates of all 8 atoms:
Mn (0.5000, 0.5000, 0.0000)  4 Pt 2.35
Mn (0.2500, 0.7500, 0.5000)  4 Pt 2.35
Pt (0.4615, 0.1250, 0.2500)  2 Mn 2.35, 2 Pt 2.62
Pt (0.2885, 0.6250, 0.2500)  2 Mn 2.35, 2 Pt 2.62
Pt (0.3750, 0.5385, 0.7500)  2 Mn 2.35, 2 Pt 2.62
Pt (0.8750, 0.7115, 0.7500)  2 Mn 2.35, 2 Pt 2.62
La (0.0000, 0.0000, 0.0000)  4 Pt 3.09
La (0.7500, 0.2500, 0.5000)  4 Pt 3.09

---

Record 6
Material: LaMn2Pt
Method: DFT, PBE-GGA
State: relaxed

Computed properties:
Electronic total energy (eV/atom): -7.320
DFT formation energy (meV/atom): 7
Symmetry: P2/m (10)

Cell: 4.5446 3.7561 5.2504 Å, 75.77 90.00 90.00°
Last column: nearest neighbours and their distance in Å.
Fractional coordinates of all 4 atoms:
La (0.5000, 0.7500, 0.7500)  2 Pt 2.83
Mn (0.0000, 0.1070, 0.0381)  2 Pt 2.64, 2 Mn 2.70-2.95
Mn (0.0000, 0.3930, 0.4619)  2 Pt 2.64, 2 Mn 2.70-2.95
Pt (0.5000, 0.2500, 0.2500)  4 Mn 2.64, 2 La 2.83

---

Record 7
Material: LaMn2Pt
Method: DFT, PBE-GGA
State: relaxed

Computed properties:
Electronic total energy (eV/atom): -7.479
DFT formation energy (meV/atom): -152
Symmetry: P4mm (99)

Cell: 3.2902 3.2902 7.1133 Å, 90.00 90.00 90.00°
Last column: nearest neighbours and their distance in Å.
Fractional coordinates of all 4 atoms:
La (0.5000, 0.5000, 0.7384)  4 Pt 3.13, 4 La 3.29, 4 Mn 3.33
Mn (0.0000, 0.0000, 0.0742)  4 Mn 2.62, 1 Pt 2.63
Mn (0.5000, 0.5000, 0.2428)  4 Mn 2.62, 4 Pt 2.73
Pt (0.0000, 0.0000, 0.4446)  5 Mn 2.63-2.73

---

Record 8
Material: LaMn2Pt4
Method: DFT, PBE-GGA
State: relaxed

Computed properties:
Electronic total energy (eV/atom): -6.105
DFT formation energy (meV/atom): 670
Symmetry: I4/mmm (139)

Cell: 5.1805 5.1805 7.5122 Å, 69.83 69.83 90.00°
Last column: nearest neighbours and their distance in Å.
Fractional coordinates of all 7 atoms:
Mn (0.6012, 0.6012, 0.7977)  1 Pt 2.40, 1 Mn 2.65
Mn (0.3988, 0.3988, 0.2023)  1 Pt 2.40, 1 Mn 2.65
Pt (0.7845, 0.7845, 0.4311)  1 Mn 2.40
Pt (0.2155, 0.2155, 0.5689)  1 Mn 2.40
Pt (0.0000, 0.5000, 0.0000)  2 La 2.59
Pt (0.5000, 0.0000, 0.0000)  2 La 2.59
La (0.0000, 0.0000, 0.0000)  6 Pt 2.59-2.83

---

Record 9
Material: LaMnPt
Method: DFT, PBE-GGA
State: relaxed

Computed properties:
Electronic total energy (eV/atom): -7.223
DFT formation energy (meV/atom): -511
Symmetry: P-6m2 (187)

Cell: 4.3365 4.3365 4.1914 Å, 90.00 90.00 120.00°
Last column: nearest neighbours and their distance in Å.
Fractional coordinates of all 3 atoms:
La (0.0000, 0.0000, 0.0001)  6 Mn 3.26-3.27, 6 Pt 3.26-3.27
Mn (0.6667, 0.3333, 0.4999)  3 Pt 2.50
Pt (0.3333, 0.6667, 0.5000)  3 Mn 2.50

---

Record 10
Material: LaMn2Pt
Method: DFT, PBE-GGA
State: relaxed

Computed properties:
Electronic total energy (eV/atom): -6.863
DFT formation energy (meV/atom): 464
Symmetry: Fm-3m (225)

Cell: 4.5093 4.5093 4.5093 Å, 60.00 60.00 60.00°
Last column: nearest neighbours and their distance in Å.
Fractional coordinates of all 4 atoms:
Mn (0.2500, 0.2500, 0.2500)  4 Pt 2.76, 4 La 2.76
Mn (0.7500, 0.7500, 0.7500)  4 La 2.76, 4 Pt 2.76
Pt (0.5000, 0.5000, 0.5000)  8 Mn 2.76
La (0.0000, 0.0000, 0.0000)  8 Mn 2.76

---

Record 11
Material: LaMnPt
Method: DFT, PBE-GGA
State: relaxed

Computed properties:
Electronic total energy (eV/atom): -7.052
DFT formation energy (meV/atom): -340
Symmetry: I4mm (107)

Cell: 5.8555 5.8553 3.5197 Å, 72.51 72.51 34.98°
Last column: nearest neighbours and their distance in Å.
Fractional coordinates of all 3 atoms:
La (0.9911, 0.9911, 0.0089)  5 Mn 3.05-3.36, 5 Pt 3.17-3.33
Mn (0.7034, 0.7034, 0.2966)  4 Pt 2.71
Pt (0.3055, 0.3055, 0.6945)  4 Mn 2.71

---

Record 12
Material: La3MnPt
Method: DFT, PBE-GGA
State: relaxed

Computed properties:
Electronic total energy (eV/atom): -6.073
DFT formation energy (meV/atom): -74
Symmetry: Pm-3m (221)

Cell: 5.1235 5.1235 5.1235 Å, 90.00 90.00 90.00°
Last column: nearest neighbours and their distance in Å.
Fractional coordinates of all 5 atoms:
Mn (0.0000, 0.0000, 0.0000)  6 La 2.56
Pt (0.5000, 0.5000, 0.5000)  12 La 3.62
La (0.0000, 0.5000, 0.0000)  2 Mn 2.56
La (0.0000, 0.0000, 0.5000)  2 Mn 2.56
La (0.5000, 0.0000, 0.0000)  2 Mn 2.56

---

Record 13
Material: LaMn2Pt
Method: DFT, PBE-GGA
State: relaxed

Computed properties:
Electronic total energy (eV/atom): -7.172
DFT formation energy (meV/atom): 155
Symmetry: C2/m (12)

Cell: 5.3889 5.3889 3.0716 Å, 77.85 77.85 115.38°
Last column: nearest neighbours and their distance in Å.
Fractional coordinates of all 4 atoms:
La (0.0000, 0.5000, 0.5000)  4 Mn 2.81, 2 Pt 2.88, 2 La 3.07
Mn (0.0000, 0.0000, 0.0000)  2 La 2.81, 2 Pt 2.81, 4 Mn 2.88-3.07
Mn (0.5000, 0.5000, 0.0000)  2 Pt 2.81, 2 La 2.81, 4 Mn 2.88-3.07
Pt (0.5000, 0.0000, 0.5000)  4 Mn 2.81, 2 La 2.88, 2 Pt 3.07